Density functional theory data (PBEsol) for a relaxed CuAs3 crystal.

Cell: 2.874 2.874 9.435 Å, 90.00 90.00 120.00°
Sites, in units of the cell vectors:
Cu: 0.000 0.000 0.000
As: 0.000 0.000 0.500
As: 0.667 0.333 0.214
As: 0.667 0.333 0.786

Values from the calculation:
- symmetry = P-6m2, No. 187
- calculated total energy (eV per atom) = -4.58
- crystal system = hexagonal
- volume (Å³ per cell) = 67.5
- calculated formation energy (meV per atom) = 330
- ρ (g/cm³) = 7.10

=====

Density functional theory data (PBEsol) for a relaxed Cu4As crystal.

Cell: 4.489 4.489 4.489 Å, 99.49 99.49 132.09°
Sites, in units of the cell vectors:
Cu: 0.103 0.693 0.796
Cu: 0.307 0.103 0.410
Cu: 0.693 0.897 0.590
Cu: 0.897 0.307 0.204
As: 0.500 0.500 0.000

Values from the calculation:
- excess energy over the best structure of this formula in the dataset (meV/atom) = 0
- symmetry = I4/m, No. 87
- calculated total energy (eV per atom) = -4.46
- crystal system = tetragonal
- volume (Å³ per cell) = 61.3
- calculated formation energy (meV per atom) = 33
- ρ (g/cm³) = 8.91

=====

Density functional theory data (PBEsol) for a relaxed DyCuAs2 crystal.

Cell: 3.857 3.857 9.658 Å, 90.00 90.00 90.00°
Sites, in units of the cell vectors:
Dy: 0.250 0.250 0.239
Dy: 0.750 0.750 0.761
Cu: 0.250 0.750 0.500
Cu: 0.750 0.250 0.500
As: 0.250 0.250 0.661
As: 0.250 0.750 0.000
As: 0.750 0.250 0.000
As: 0.750 0.750 0.339

Values from the calculation:
- symmetry = P4/nmm, No. 129
- calculated total energy (eV per atom) = -5.75
- crystal system = tetragonal
- volume (Å³ per cell) = 143.7
- calculated formation energy (meV per atom) = -867
- ρ (g/cm³) = 8.69

=====

Density functional theory data (PBEsol) for a relaxed DyZnCuAs2 crystal.

Cell: 4.058 4.058 6.617 Å, 90.00 90.00 120.00°
Sites, in units of the cell vectors:
Dy: 0.000 0.000 0.000
Zn: 0.667 0.333 0.390
Cu: 0.333 0.667 0.659
As: 0.333 0.667 0.267
As: 0.667 0.333 0.762

Values from the calculation:
- symmetry = P3m1, No. 156
- calculated total energy (eV per atom) = -4.89
- crystal system = trigonal
- volume (Å³ per cell) = 94.4
- calculated formation energy (meV per atom) = -673
- ρ (g/cm³) = 7.77

=====

Density functional theory data (PBEsol) for a relaxed ErCuAs2 crystal.

Cell: 3.840 3.840 9.593 Å, 90.00 90.00 90.00°
Sites, in units of the cell vectors:
Er: 0.250 0.250 0.238
Er: 0.750 0.750 0.762
Cu: 0.250 0.750 0.500
Cu: 0.750 0.250 0.500
As: 0.250 0.250 0.663
As: 0.250 0.750 0.000
As: 0.750 0.250 0.000
As: 0.750 0.750 0.337

Values from the calculation:
- symmetry = P4/nmm, No. 129
- calculated total energy (eV per atom) = -5.72
- crystal system = tetragonal
- volume (Å³ per cell) = 141.4
- calculated formation energy (meV per atom) = -851
- ρ (g/cm³) = 8.94

=====

Density functional theory data (PBEsol) for a relaxed EuCuAs crystal.

Cell: 4.146 4.146 8.091 Å, 90.00 90.00 120.00°
Sites, in units of the cell vectors:
Eu: 0.000 0.000 0.000
Eu: 0.000 0.000 0.500
Cu: 0.333 0.667 0.250
Cu: 0.667 0.333 0.750
As: 0.333 0.667 0.750
As: 0.667 0.333 0.250

Values from the calculation:
- symmetry = P6_3/mmc, No. 194
- calculated total energy (eV per atom) = -7.54
- crystal system = hexagonal
- volume (Å³ per cell) = 120.5
- calculated formation energy (meV per atom) = -873
- ρ (g/cm³) = 8.01

=====

Question: Which of these has the highest calculated total energy?
Answer: Cu4As